DFT (GGA-PBE) results for an optimized crystal structure of La2BeInH.

abc: 5.356 5.356 3.828
angles: 90.00 90.00 90.00
Element x y z (fractional)
La1 0.000 0.500 0.000
La2 0.500 0.000 0.000
Be1 0.000 0.000 0.500
In1 0.500 0.500 0.500
H1 0.000 0.000 0.000

crystal system: tetragonal
electronic total energy: -4.109 eV/atom
total magnetic moment: 0.00 Bohr magnetons per cell